1.
## PrSn3S6 (PBE)

Data for crystalline PrSn3S6 at its relaxed geometry.

Values from the calculation:
The crystal system is monoclinic. As for the space group: P2_1/m, No. 11.

```
PrSn3S6
1.0
11.524 0.000 0.000
0.000 3.937 0.000
-5.291 0.000 11.021
Pr Sn S
2 6 12
Direct
0.155 0.250 0.424
0.845 0.750 0.576
0.134 0.750 0.007
0.205 0.250 0.761
0.478 0.250 0.345
0.522 0.750 0.655
0.795 0.750 0.239
0.866 0.250 0.993
0.013 0.750 0.241
0.109 0.750 0.588
0.251 0.250 0.154
0.304 0.750 0.913
0.348 0.750 0.427
0.384 0.250 0.682
0.616 0.750 0.318
0.652 0.250 0.573
0.696 0.250 0.087
0.749 0.750 0.846
0.891 0.250 0.412
0.987 0.250 0.759
```


2.
## Pr4SnS2 (PBE)

Data for crystalline Pr4SnS2 at its relaxed geometry.

Values from the calculation:
The crystal system is orthorhombic. As for the space group: Cmcm, No. 63.

```
Pr4SnS2
1.0
2.141 -6.747 0.000
2.141 6.747 0.000
0.000 0.000 13.999
Pr Sn S
8 2 4
Direct
0.000 0.000 0.000
0.000 0.000 0.500
0.267 0.733 0.616
0.267 0.733 0.884
0.438 0.562 0.250
0.562 0.438 0.750
0.733 0.267 0.116
0.733 0.267 0.384
0.110 0.890 0.250
0.890 0.110 0.750
0.367 0.633 0.060
0.367 0.633 0.440
0.633 0.367 0.560
0.633 0.367 0.940
```


no.,V (Å³/atom),raw formation energy (eV/atom),spin magnetization (μB/f.u.)
1,25.002,-0.76,0.0
2,28.881,-1.40,0.7